# 1
Crystalline Tb2CuSe at its relaxed geometry. Source: Alexandria via LeMat-Bulk, functional PBE.

The structure in POSCAR format:
```
Tb2CuSe
1.0
-2.406 -2.847 1.655
3.009 -1.152 2.393
-4.938 8.093 6.741
Cu Tb Se
2 4 2
Cartesian
-3.779 6.243 7.757 Cu
-0.557 -2.149 3.031 Cu
-3.279 3.809 9.322 Tb
-1.544 0.010 5.311 Tb
-2.792 4.084 5.477 Tb
-1.057 0.285 1.466 Tb
-2.409 1.906 7.313 Se
-1.926 2.188 3.476 Se
```

Output
- total moment (μB/f.u.) = 0.0

# 2
Crystalline Tb2CuSe at its relaxed geometry. Source: Alexandria via LeMat-Bulk, functional PBE.

The structure in POSCAR format:
```
Tb2CuSe
1.0
3.965 0.000 0.000
1.982 3.433 0.000
1.982 1.144 7.201
Se Tb Cu
1 2 1
Cartesian
3.965 2.289 3.621 Se
1.982 1.144 5.513 Tb
1.982 1.144 1.681 Tb
5.947 3.433 7.187 Cu
```

Output
- total moment (μB/f.u.) = 0.0

Number 1: mass density 8152 kg/m3, raw formation energy -4.1 eV per formula unit. Number 2: mass density 7798 kg/m3, raw formation energy -3.5 eV per formula unit.